A plane-wave DFT calculation with PBE was carried out for a geometry-optimized CsLiAc2S4 structure.

extended XYZ file:
```
16
Lattice="2.207 -7.449 0.000 2.207 7.449 0.000 0.000 0.000 14.952" Properties=species:S:1:pos:R:3 pbc="T T T"
Cs 2.207 5.896 11.214
Cs 2.207 -5.896 3.738
Li 2.207 4.906 3.738
Li 2.207 -4.906 11.214
Ac 2.207 1.990 8.356
Ac 2.207 1.990 14.073
Ac 2.207 -1.990 0.880
Ac 2.207 -1.990 6.596
S 0.000 0.000 0.000
S 0.000 0.000 7.476
S 2.207 3.634 1.615
S 2.207 3.634 5.861
S 2.207 1.314 11.214
S 2.207 -1.314 3.738
S 2.207 -3.634 9.091
S 2.207 -3.634 13.337
```

Computed properties:
- E_form (uncorrected): -1.8792 eV/atom
- DFT total energy: -85.1 eV per cell
- Fermi-level density of states: 0.000 states/eV/cell